a) ## NiAgOs2 (PBEsol)

Data for a relaxed structure of NiAgOs2.

symmetry: P4mm

a b c (Å): 2.712 2.712 7.512
angles (deg): 90.00 90.00 90.00
Fractional positions:
Ag  0.000  0.000  0.514
Ni  0.500  0.500  0.763
Os  0.000  0.000  0.994
Os  0.500  0.500  0.229


b) ## NiAgOs2 (PBEsol)

Data for a relaxed structure of NiAgOs2.

symmetry: Pmm2

a b c (Å): 2.721 3.737 5.430
angles (deg): 90.00 90.00 90.00
Fractional positions:
Ag  0.000  0.000  0.516
Ni  0.500  0.500  0.754
Os  0.000  0.000  0.009
Os  0.500  0.500  0.221


Most stable to least stable: a), b)